[1]
Below is a geometry-optimized Ho5Ru3 structure, with properties calculated at the PBE-GGA level.

Computed properties:
N(E_F) ... 4.60 states/eV/cell
E_form ... -374 meV per atom
Calculated density ... 10.08 g/cm³

a b c (Å): 3.3977 3.3977 16.0886
angles (deg): 90.00 90.00 90.00
Last column: nearest neighbours and their distance in Å.
Space group P4/mmm (No. 123)
Symmetry-distinct sites (fractional):
Ho  0.0000  0.0000  0.0000 (multiplicity 1)  8 Ru 2.99, 2 Ho 3.32
Ho  0.0000  0.0000  0.2067 (multiplicity 2)  4 Ru 2.86
Ho  0.5000  0.5000  0.3980 (multiplicity 2)  4 Ru 2.91
Ru  0.0000  0.0000  0.5000 (multiplicity 1)  8 Ho 2.91
Ru  0.5000  0.5000  0.1105 (multiplicity 2)  8 Ho 2.86-2.99



[2]
Below is a geometry-optimized TaPbCl2 structure, with properties calculated at the PBE-GGA level.

Computed properties:
N(E_F) ... 20.58 states/eV/cell
Energy ... -0.3062 Ry per atom
Calculated density ... 8.40 g/cm³

a b c (Å): 7.1346 7.1346 7.1346
angles (deg): 90.00 90.00 90.00
Last column: nearest neighbours and their distance in Å.
Space group F-43m (No. 216)
Symmetry-distinct sites (fractional):
Ta  0.0000  0.0000  0.0000 (multiplicity 4)  4 Cl 3.09, 4 Pb 3.09
Pb  0.2500  0.2500  0.2500 (multiplicity 4)  4 Cl 3.09, 4 Ta 3.09
Cl  0.0000  0.0000  0.5000 (multiplicity 4)  4 Cl 3.09, 4 Pb 3.09
Cl  0.2500  0.2500  0.7500 (multiplicity 4)  4 Ta 3.09, 4 Cl 3.09



[3]
Below is a geometry-optimized NaZn3Pt2 structure, with properties calculated at the PBE-GGA level.

Computed properties:
N(E_F) ... 2.16 states/eV/cell
E_form ... -302 meV per atom
Calculated density ... 7.80 g/cm³

a b c (Å): 7.1882 7.1882 2.8982
angles (deg): 90.00 90.00 120.00
Last column: nearest neighbours and their distance in Å.
Space group P6/mmm (No. 191)
Symmetry-distinct sites (fractional):
Na  0.0000  0.0000  0.0000 (multiplicity 1)  2 Na 2.90
Zn  0.0000  0.5000  0.0000 (multiplicity 3)  4 Pt 2.53
Pt  0.3333  0.6667  0.5000 (multiplicity 2)  6 Zn 2.53



[4]
Below is a geometry-optimized NaV structure, with properties calculated at the PBE-GGA level.

Computed properties:
N(E_F) ... 1.72 states/eV/cell
E_form ... 874 meV per atom
Calculated density ... 3.43 g/cm³

a b c (Å): 2.4509 2.7806 5.7203
angles (deg): 89.52 89.26 66.81
Last column: nearest neighbours and their distance in Å.
Space group P-1 (No. 2)
Symmetry-distinct sites (fractional):
Na  0.0000  0.0000  0.0000 (multiplicity 1)  2 Na 2.45
V  0.5000  0.5000  0.5000 (multiplicity 1)  2 V 2.45



[5]
Below is a geometry-optimized LiHgO2 structure, with properties calculated at the PBE-GGA level.

Computed properties:
N(E_F) ... 4.41 states/eV/cell
Energy ... -0.2642 Ry per atom
Calculated density ... 6.81 g/cm³

a b c (Å): 5.9533 3.3429 6.2693
angles (deg): 90.00 110.68 90.00
Last column: nearest neighbours and their distance in Å.
Space group Cm (No. 8)
Symmetry-distinct sites (fractional):
Li  0.0000  0.0000  0.0000 (multiplicity 2)  4 O 1.97-2.06
Hg  0.4683  0.0000  0.4639 (multiplicity 2)  4 O 2.08-2.33
O  0.3702  0.0000  0.1108 (multiplicity 2)  3 Li 2.06, 1 Hg 2.08
O  0.3800  0.5000  0.6648 (multiplicity 2)  1 Li 1.97



[6]
Below is a geometry-optimized Nd6ErTm8 structure, with properties calculated at the PBE-GGA level.

Computed properties:
N(E_F) ... 66.65 states/eV/cell
E_form ... 123 meV per atom
Calculated density ... 8.07 g/cm³

a b c (Å): 9.0284 9.0284 20.8436
angles (deg): 90.00 90.00 120.00
Last column: nearest neighbours and their distance in Å.
Space group R-3 (No. 148, hexagonal axes)
Symmetry-distinct sites (fractional):
Nd  0.0629  0.2493  0.2113 (multiplicity 18)  4 Tm 3.37-3.66, 1 Er 3.44, 2 Nd 3.51
Er  0.0000  0.0000  0.5000 (multiplicity 3)  6 Nd 3.44, 6 Tm 3.54
Tm  0.0000  0.0000  0.0766 (multiplicity 6)  4 Tm 3.20-3.41, 3 Nd 3.46
Tm  0.0808  0.5576  0.3073 (multiplicity 18)  3 Nd 3.37-3.66, 5 Tm 3.41-3.43, 1 Er 3.54



[7]
Below is a geometry-optimized Pr4Ir structure, with properties calculated at the PBE-GGA level.

Computed properties:
N(E_F) ... 23.04 states/eV/cell
E_form ... -301 meV per atom
Calculated density ... 7.41 g/cm³

a b c (Å): 8.9142 8.9142 8.5311
angles (deg): 90.00 90.00 90.00
Last column: nearest neighbours and their distance in Å.
Space group I4_1/amd (No. 141, origin choice 2)
Symmetry-distinct sites (fractional):
Pr  0.0000  0.0521  0.2066 (multiplicity 16)  1 Ir 2.78
Ir  0.0000  0.2500  0.8750 (multiplicity 4)  4 Pr 2.78



[8]
Below is a geometry-optimized Te2Se structure, with properties calculated at the PBE-GGA level.

Computed properties:
N(E_F) ... 0.98 states/eV/cell
Energy ... -0.2335 Ry per atom
Calculated density ... 6.32 g/cm³

a b c (Å): 4.1691 4.1691 11.6585
angles (deg): 90.00 90.00 120.00
Last column: nearest neighbours and their distance in Å.
Space group P6_3/mmc (No. 194)
Symmetry-distinct sites (fractional):
Te  0.3333  0.6667  0.0803 (multiplicity 4)  3 Te 3.05, 3 Se 3.12
Se  0.0000  0.0000  0.2500 (multiplicity 2)  6 Te 3.12



[9]
Below is a geometry-optimized Sr2SnSe3F2 structure, with properties calculated at the PBE-GGA level.

Computed properties:
Energy ... -0.3538 Ry per atom
Calculated density ... 4.99 g/cm³

a b c (Å): 6.1980 19.7243 6.1891
angles (deg): 90.00 90.00 90.00
Last column: nearest neighbours and their distance in Å.
Space group Pnma (No. 62)
Symmetry-distinct sites (fractional):
Sr  0.2457  0.0696  0.0047 (multiplicity 8)  4 F 2.57-2.60
Sn  0.1458  0.7500  0.9191 (multiplicity 4)  4 Se 2.52-2.61
Se  0.2335  0.7500  0.5065 (multiplicity 4)  2 Sn 2.60-2.61
Se  0.2424  0.1306  0.5121 (multiplicity 8)  1 Sn 2.52
F  0.0015  0.0008  0.7466 (multiplicity 8)  4 Sr 2.57-2.60



[10]
Below is a geometry-optimized Ca2NpNbN4 structure, with properties calculated at the PBE-GGA level.

Computed properties:
N(E_F) ... 6.19 states/eV/cell
Energy ... -0.6392 Ry per atom
Calculated density ... 7.17 g/cm³

a b c (Å): 5.7490 3.3410 5.9224
angles (deg): 90.00 108.38 90.00
Last column: nearest neighbours and their distance in Å.
Space group P2/m (No. 10)
Symmetry-distinct sites (fractional):
Ca  0.0000  0.0000  0.0000 (multiplicity 1)  6 N 2.52-2.53
Ca  0.5000  0.5000  0.0000 (multiplicity 1)  6 N 2.48-2.49
Np  0.0000  0.5000  0.5000 (multiplicity 1)  6 N 2.26-2.30
Nb  0.5000  0.0000  0.5000 (multiplicity 1)  6 N 2.21-2.27
N  0.2474  0.0000  0.7151 (multiplicity 2)  1 Nb 2.21, 2 Np 2.30
N  0.2647  0.5000  0.2870 (multiplicity 2)  1 Np 2.26, 2 Nb 2.27, 3 Ca 2.48-2.52



[11]
Below is a geometry-optimized NaLa3 structure, with properties calculated at the PBE-GGA level.

Computed properties:
N(E_F) ... 10.97 states/eV/cell
E_form ... 150 meV per atom
Calculated density ... 5.05 g/cm³

a b c (Å): 3.7881 12.1455 6.2816
angles (deg): 90.00 90.00 90.00
Last column: nearest neighbours and their distance in Å.
Space group Imm2 (No. 44)
Symmetry-distinct sites (fractional):
Na  0.0000  0.0000  0.0000 (multiplicity 2)  10 La 3.60-3.99, 2 Na 3.79
La  0.0000  0.2522  0.5922 (multiplicity 4)  3 Na 3.60-3.99, 9 La 3.64-3.99
La  0.0000  0.5000  0.0095 (multiplicity 2)  4 Na 3.62-3.72, 8 La 3.64-3.99



[12]
Below is a geometry-optimized Pm3PrTe6 structure, with properties calculated at the PBE-GGA level.

Computed properties:
N(E_F) ... 0.01 states/eV/cell
Energy ... -0.3837 Ry per atom
Calculated density ... 6.33 g/cm³

a b c (Å): 12.7154 4.4746 13.1028
angles (deg): 90.00 109.25 90.00
Last column: nearest neighbours and their distance in Å.
Space group P2_1/m (No. 11)
Symmetry-distinct sites (fractional):
Pm  0.0680  0.2500  0.1671 (multiplicity 2)  6 Te 3.11-3.19
Pm  0.1820  0.7500  0.5019 (multiplicity 2)  7 Te 3.11-3.35
Pm  0.3444  0.2500  0.9190 (multiplicity 2)  6 Te 3.08-3.17
Pr  0.4549  0.2500  0.3054 (multiplicity 2)  8 Te 3.28-3.40
Te  0.0144  0.2500  0.3818 (multiplicity 2)  4 Pm 3.11-3.33
Te  0.1064  0.2500  0.9388 (multiplicity 2)  4 Pm 3.12-3.19
Te  0.2474  0.7500  0.2792 (multiplicity 2)  3 Pm 3.19-3.29, 2 Pr 3.39
Te  0.3077  0.7500  0.7493 (multiplicity 2)  3 Pm 3.08-3.11, 1 Pr 3.32
Te  0.3865  0.2500  0.5325 (multiplicity 2)  3 Pr 3.28-3.36, 2 Pm 3.35
Te  0.4144  0.7500  0.1003 (multiplicity 2)  3 Pm 3.16-3.17, 2 Pr 3.40



[13]
Below is a geometry-optimized CeCo12B6 structure, with properties calculated at the PBE-GGA level.

Computed properties:
N(E_F) ... 39.96 states/eV/cell
E_form ... -355 meV per atom
Calculated density ... 8.00 g/cm³

a b c (Å): 9.4170 9.4170 7.3928
angles (deg): 90.00 90.00 120.00
Last column: nearest neighbours and their distance in Å.
Space group R-3m (No. 166, hexagonal axes)
Symmetry-distinct sites (fractional):
Ce  0.0000  0.0000  0.0000 (multiplicity 3)  6 B 3.05, 18 Co 3.07-3.24
Co  0.0000  0.3668  0.5000 (multiplicity 18)  4 B 2.03
Co  0.0898  0.1795  0.3656 (multiplicity 18)  3 B 2.10-2.11
B  0.0386  0.5193  0.2877 (multiplicity 18)  7 Co 2.03-2.11



[14]
Below is a geometry-optimized TaZnW structure, with properties calculated at the PBE-GGA level.

Computed properties:
N(E_F) ... 2.04 states/eV/cell
E_form ... 173 meV per atom
Calculated density ... 14.50 g/cm³

a b c (Å): 4.6053 4.6053 2.6818
angles (deg): 90.00 90.00 120.00
Last column: nearest neighbours and their distance in Å.
Space group P3m1 (No. 156)
Symmetry-distinct sites (fractional):
Ta  0.0000  0.0000  0.0000 (multiplicity 1)  2 Ta 2.68, 3 W 2.81, 3 Zn 2.84
Zn  0.6667  0.3333  0.6319 (multiplicity 1)  2 Zn 2.68, 3 W 2.77, 3 Ta 2.84
W  0.3333  0.6667  0.3407 (multiplicity 1)  2 W 2.68, 3 Zn 2.77, 3 Ta 2.81



[15]
Below is a geometry-optimized PmUGe2 structure, with properties calculated at the PBE-GGA level.

Computed properties:
N(E_F) ... 6.32 states/eV/cell
E_form ... -365 meV per atom
Calculated density ... 9.65 g/cm³

a b c (Å): 3.3499 3.3499 8.0980
angles (deg): 90.00 90.00 90.00
Last column: nearest neighbours and their distance in Å.
Space group P4/mmm (No. 123)
Symmetry-distinct sites (fractional):
Pm  0.0000  0.0000  0.0000 (multiplicity 1)  8 Ge 3.16, 4 Pm 3.35
U  0.0000  0.0000  0.5000 (multiplicity 1)  8 Ge 3.07, 4 U 3.35
Ge  0.5000  0.5000  0.2584 (multiplicity 2)  4 U 3.07, 4 Pm 3.16, 4 Ge 3.35



[16]
Below is a geometry-optimized ScTl2Pb structure, with properties calculated at the PBE-GGA level.

Computed properties:
N(E_F) ... 12.67 states/eV/cell
E_form ... -2 meV per atom
Calculated density ... 9.90 g/cm³

a b c (Å): 3.5230 3.5230 30.9278
angles (deg): 90.00 90.00 120.00
Last column: nearest neighbours and their distance in Å.
Space group R-3m (No. 166, hexagonal axes)
Symmetry-distinct sites (fractional):
Sc  0.0000  0.0000  0.0000 (multiplicity 3)  6 Tl 3.15, 6 Sc 3.52
Tl  0.0000  0.0000  0.2555 (multiplicity 6)  3 Sc 3.15, 3 Pb 3.42, 6 Tl 3.52
Pb  0.0000  0.0000  0.5000 (multiplicity 3)  6 Tl 3.42, 6 Pb 3.52



[17]
Below is a geometry-optimized Pm2UGe3Rh4 structure, with properties calculated at the PBE-GGA level.

Computed properties:
N(E_F) ... 11.15 states/eV/cell
E_form ... -780 meV per atom
Calculated density ... 9.80 g/cm³

a b c (Å): 4.2459 4.2459 10.8764
angles (deg): 90.00 90.00 90.00
Last column: nearest neighbours and their distance in Å.
Space group P-4m2 (No. 115)
Symmetry-distinct sites (fractional):
Pm  0.0000  0.5000  0.2276 (multiplicity 2)  4 Ge 3.21, 8 Rh 3.26-3.29
U  0.0000  0.0000  0.5000 (multiplicity 1)  4 Rh 2.67
Ge  0.0000  0.5000  0.8766 (multiplicity 2)  5 Rh 2.48-2.51
Ge  0.5000  0.5000  0.5000 (multiplicity 1)  4 Rh 2.67
Rh  0.0000  0.0000  0.0000 (multiplicity 1)  4 Ge 2.51
Rh  0.0000  0.5000  0.6487 (multiplicity 2)  3 Ge 2.48-2.67, 2 U 2.67
Rh  0.5000  0.5000  0.0000 (multiplicity 1)  4 Ge 2.51